Crystalline NdEr6Ag at its relaxed geometry. Source: Alexandria via LeMat-Bulk, functional PBE-GGA.

Cell lengths 9.2864, 9.2864, 9.6334 Å; angles 90.00, 90.00, 120.00 degrees
Space group R-3 (No. 148, hexagonal axes)
Asymmetric unit:
Nd  0.0000  0.0000  0.0000 [3 per cell]
Er  0.0305  0.2531  0.7053 [18 per cell]
Ag  0.0000  0.0000  0.5000 [3 per cell]

Computed properties:
ΔH_f (0 K) ... 4.4 kJ per mole of atoms
Calculated total energy ... -4.33 eV/atom